# 1
The following is a GGA-PBE calculation of crystalline YInFe2 at its relaxed geometry, from Alexandria.

a = 3.4289 Å, b = 3.4640 Å, c = 6.2483 Å
α = 90.00°, β = 90.00°, γ = 90.00°
Last column: nearest neighbours and their distance in Å.
Space group Pmmm (No. 47)
Unique sites:
Y 0.0000 0.0000 0.0000  8 Fe 3.09, 2 In 3.12, 4 Y 3.43-3.46
In 0.0000 0.0000 0.5000  8 Fe 2.72
Fe 0.5000 0.5000 0.3051  1 Fe 2.44, 4 In 2.72

Results
**Electronic total energy**: -25.5 eV for the cell shown
**Formation energy from the elements**: 0.7 eV/f.u.



# 2
The following is a GGA-PBE calculation of crystalline YInFe2 at its relaxed geometry, from Alexandria.

a = 4.0137 Å, b = 4.0137 Å, c = 16.8422 Å
α = 90.00°, β = 90.00°, γ = 120.00°
Last column: nearest neighbours and their distance in Å.
Space group R3m (No. 160, hexagonal axes)
Unique sites:
Y 0.0000 0.0000 0.0000  6 Fe 2.99, 4 In 3.25-3.34
In 0.0000 0.0000 0.8019  6 Fe 2.73
Fe 0.0000 0.0000 0.2209  3 Fe 2.32
Fe 0.0000 0.0000 0.5543  3 Fe 2.32

Results
**Electronic total energy**: -78.8 eV for the cell shown
**Formation energy from the elements**: -0.1 eV/f.u.



# 3
The following is a GGA-PBE calculation of crystalline YIn2Fe at its relaxed geometry, from Alexandria.

a = 3.3324 Å, b = 4.6620 Å, c = 5.9311 Å
α = 90.00°, β = 102.93°, γ = 90.00°
Last column: nearest neighbours and their distance in Å.
Space group P2/m (No. 10)
Unique sites:
Y 0.0000 0.0000 0.0000  2 Fe 3.06, 8 In 3.23-3.32, 2 Y 3.33
In 0.3647 0.5000 0.7266  2 Fe 2.78, 1 In 3.02
Fe 0.5000 0.0000 0.5000  4 In 2.78, 2 Y 3.06

Results
**Electronic total energy**: -20.3 eV for the cell shown
**Formation energy from the elements**: 0.1 eV/f.u.



# 4
The following is a GGA-PBE calculation of crystalline YIn2Fe at its relaxed geometry, from Alexandria.

a = 4.1755 Å, b = 4.1755 Å, c = 21.0470 Å
α = 90.00°, β = 90.00°, γ = 90.00°
Last column: nearest neighbours and their distance in Å.
Space group I-42d (No. 122)
Unique sites:
Y 0.0000 0.0000 0.0000  4 Fe 2.95, 4 In 3.05
In 0.2281 0.2500 0.6250  4 In 2.83-3.08, 2 Fe 2.99, 2 Y 3.05
Fe 0.0000 0.0000 0.5000  4 Y 2.95, 4 In 2.99

Results
**Electronic total energy**: -75.5 eV for the cell shown
**Formation energy from the elements**: 1.5 eV/f.u.



# 5
The following is a GGA-PBE calculation of crystalline Y2InFe at its relaxed geometry, from Alexandria.

a = 4.4122 Å, b = 4.4122 Å, c = 9.7290 Å
α = 90.00°, β = 90.00°, γ = 90.00°
Last column: nearest neighbours and their distance in Å.
Space group I-4m2 (No. 119)
Unique sites:
Y 0.0000 0.0000 0.0000  4 In 3.12, 4 Fe 3.28, 4 Y 3.28
Y 0.0000 0.5000 0.2500  4 Fe 3.12, 4 In 3.28, 4 Y 3.28
In 0.0000 0.0000 0.5000  8 Y 3.12-3.28, 4 Fe 3.28
Fe 0.0000 0.5000 0.7500  8 Y 3.12-3.28, 4 In 3.28

Results
**Electronic total energy**: -48.1 eV for the cell shown
**Formation energy from the elements**: 0.1 eV/f.u.



# 6
The following is a GGA-PBE calculation of crystalline YIn2Fe at its relaxed geometry, from Alexandria.

a = 3.4619 Å, b = 3.4619 Å, c = 27.4747 Å
α = 90.00°, β = 90.00°, γ = 120.00°
Last column: nearest neighbours and their distance in Å.
Space group R3m (No. 160, hexagonal axes)
Unique sites:
Y 0.0000 0.0000 0.0000  3 Fe 2.81
In 0.0000 0.0000 0.2335  9 In 3.24-3.46, 3 Y 3.39
In 0.0000 0.0000 0.4738  3 Fe 2.74
Fe 0.0000 0.0000 0.7388  3 In 2.74, 3 Y 2.81

Results
**Electronic total energy**: -58.6 eV for the cell shown
**Formation energy from the elements**: 0.9 eV/f.u.